A plane-wave DFT calculation with PBE+U was carried out for a geometry-optimized Li5Mn5O12 structure.

Properties
DFT total energy, eV/atom: -6.494
M_tot, μB per atom: 0.727

POSCAR file:
```
Li5Mn5O12
1.0
-4.672 1.797 -0.503
-3.938 -3.025 1.172
-1.357 3.843 9.608
O Li Mn
12 5 5
direct
0.191 0.006 0.408
0.809 0.994 0.592
0.470 0.654 0.597
0.956 0.368 0.104
0.044 0.632 0.896
0.375 0.004 0.898
0.669 0.377 0.896
0.895 0.641 0.397
0.331 0.623 0.104
0.105 0.359 0.603
0.530 0.346 0.403
0.625 0.996 0.102
0.000 0.000 0.000
0.376 0.691 0.791
0.624 0.309 0.209
0.054 0.325 0.793
0.946 0.675 0.207
0.663 0.675 0.000
0.836 0.333 0.500
0.337 0.325 0.000
0.500 0.000 0.500
0.164 0.667 0.500
```